# Li3Mn4O8 | Alexandria via LeMat-Bulk | PBE with a Hubbard U | relaxed
data_Li3Mn4O8
_chemical_formula_sum 'Li6 Mn8 O16'
_cell_length_a 10.8194
_cell_length_b 5.7756
_cell_length_c 5.3220
_cell_angle_alpha 90.00
_cell_angle_beta 113.51
_cell_angle_gamma 90.00
_space_group_name_H-M_alt 'C 1 m 1'
_space_group_IT_number 8
loop_
_space_group_symop_operation_xyz
'x,y,z'
'x,-y,z'
'x+1/2,y+1/2,z'
'x+1/2,-y+1/2,z'
loop_
_atom_site_label
_atom_site_type_symbol
_atom_site_fract_x
_atom_site_fract_y
_atom_site_fract_z
Li1 Li 0.0000 0.0000 0.0000
Li2 Li 0.2560 0.2510 0.9849
Mn1 Mn 0.0076 0.2516 0.4883
Mn2 Mn 0.2530 0.5000 0.4729
Mn3 Mn 0.2605 0.0000 0.4940
O1 O 0.1208 0.5000 0.6982
O2 O 0.1384 0.0000 0.6952
O3 O 0.1488 0.2365 0.2572
O4 O 0.3663 0.2582 0.7104
O5 O 0.3763 0.0000 0.2892
O6 O 0.3990 0.5000 0.2582
# Magnetic moment in μB per formula unit: 15.00
# ΔE to the lowest computed polymorph in meV/atom: 13